Entry from Alexandria: an optimized crystal structure of ReMo4Pd5 (PBE).

## Properties
calculated volume: 17.65 Å³/atom
size of the total moment: 0.000 μB/f.u.
total energy: -7.892 eV/atom
formation energy: 0.28 eV/atom

a b c (Å): 2.7532 9.3854 7.3293
angles (deg): 108.02 100.83 90.00
Closest atoms and distances in Å follow each position.
Atoms (fractional coordinates):
Mo: 0.3369 0.0879 0.6738  6 Mo 2.69-2.88, 1 Re 2.72, 5 Pd 2.78-2.84
Mo: 0.9961 0.2487 0.9921  4 Mo 2.69-2.75, 4 Pd 2.72-2.78, 2 Re 2.73
Mo: 0.0039 0.7513 0.0079  4 Mo 2.69-2.75, 4 Pd 2.72-2.78, 2 Re 2.73
Mo: 0.6631 0.9121 0.3262  6 Mo 2.69-2.88, 1 Re 2.72, 5 Pd 2.78-2.84
Pd: 0.8364 0.8287 0.6727  4 Mo 2.73-2.84, 4 Pd 2.75-2.80, 2 Re 2.76
Pd: 0.1691 0.6582 0.3382  6 Pd 2.75-2.80, 3 Mo 2.78
Pd: 0.8309 0.3418 0.6618  6 Pd 2.75-2.80, 3 Mo 2.78
Pd: 0.5000 0.5000 0.0000  4 Mo 2.72, 6 Pd 2.75-2.78
Pd: 0.1636 0.1713 0.3273  4 Mo 2.73-2.84, 4 Pd 2.75-2.80, 2 Re 2.76
Re: 0.5000 0.0000 0.0000  6 Mo 2.72-2.73, 2 Re 2.75, 4 Pd 2.76